{
  "formula": "ZnRe3Ge",
  "functional": "PBE",
  "state": "optimized geometry",
  "lattice_angstrom": [[4.515, 0.000, 0.000], [0.000, 4.515, 0.000], [0.000, 0.000, 4.515]],
  "species": ["Zn", "Re", "Re", "Re", "Ge"],
  "frac_coords": [[0.000, 0.000, 0.000], [0.000, 0.000, 0.500], [0.000, 0.500, 0.000], [0.500, 0.000, 0.000], [0.500, 0.500, 0.500]],
  "ef_ev_per_atom": 2.184,
  "final_energy_ha_per_atom": -0.238
}